Record 1
5
Lattice="4.763 0.000 0.000 0.000 4.763 0.000 0.000 0.000 3.640" Properties=species:S:1:pos:R:3 comment="PBE BeP2OsO, optimized geometry" final_energy_ev_per_atom=-5.633 e_above_lowest_polymorph_mev_per_atom=317 raw_formation_energy_ev_per_atom=0.51 dos_ef_per_ev_atom=0.89 mass_density_kg_m3=5574 pbc="T T T"
Be 0.000 0.000 0.000
P 0.000 2.381 1.820
P 2.381 0.000 1.820
Os 2.381 2.381 1.820
O 2.381 2.381 0.000

Record 2
10
Lattice="4.598 2.655 3.779 -4.598 2.655 3.779 0.000 -5.309 3.779" Properties=species:S:1:pos:R:3 comment="PBE YTm3Sc6, optimized geometry" final_energy_ev_per_atom=-5.384 e_above_lowest_polymorph_mev_per_atom=239 dos_ef_per_ev_atom=2.10 mass_density_kg_m3=5192 pbc="T T T"
Y 0.000 0.000 0.000
Tm 0.000 0.000 2.900
Tm 0.000 0.000 5.678
Tm 0.000 0.000 8.547
Sc -3.077 0.033 5.468
Sc -1.486 -2.615 7.348
Sc 1.510 -2.681 5.468
Sc -1.521 2.595 7.348
Sc 1.567 2.648 5.468
Sc 3.008 0.020 7.348

Record 3
5
Lattice="5.750 0.000 0.000 0.000 5.750 0.000 0.000 0.000 5.952" Properties=species:S:1:pos:R:3 comment="PBE KInHg2Bi, optimized geometry" final_energy_ev_per_atom=-1.674 e_above_lowest_polymorph_mev_per_atom=174 dos_ef_per_ev_atom=0.64 mass_density_kg_m3=6446 pbc="T T T"
K 0.000 0.000 0.000
In 2.875 2.875 2.976
Hg 0.000 2.875 2.976
Hg 2.875 0.000 2.976
Bi 2.875 2.875 0.000

Record 4
5
Lattice="4.246 0.000 0.000 0.000 4.246 0.000 0.000 0.000 4.448" Properties=species:S:1:pos:R:3 comment="PBE TeAsO2F, optimized geometry" final_energy_ev_per_atom=-4.191 raw_formation_energy_ev_per_atom=-0.27 dos_ef_per_ev_atom=0.57 mass_density_kg_m3=5250 pbc="T T T"
Te 0.000 0.000 0.000
As 2.123 2.123 2.224
O 0.000 2.123 0.000
O 2.123 0.000 0.000
F 0.000 0.000 2.224